# LiAgSe4

An optimized crystal structure of LiAgSe4 (PBE, Alexandria via LeMat-Bulk).

Unit cell a=8.177 b=8.177 c=8.177 alpha=90.00 beta=90.00 gamma=90.00
Space group F-43m (No. 216)
Asymmetric unit:
Li  0.000  0.000  0.000 [4 per cell]
Ag  0.250  0.250  0.250 [4 per cell]
Se  0.125  0.125  0.625 [16 per cell]

* raw formation energy: 0.195 eV/atom
* electronic total energy: -2.92 eV/atom



# LiNbIr

An optimized crystal structure of LiNbIr (PBE, Alexandria via LeMat-Bulk).

Unit cell a=3.163 b=3.163 c=9.418 alpha=90.00 beta=90.00 gamma=90.00
Space group P4/nmm (No. 129, origin choice 2)
Asymmetric unit:
Li  0.250  0.250  0.073 [2 per cell]
Nb  0.250  0.250  0.397 [2 per cell]
Ir  0.250  0.250  0.758 [2 per cell]

* offset from the most stable computed form: 0 meV per atom
* electronic total energy: -7.23 eV/atom



# MgCo2HRh

An optimized crystal structure of MgCo2HRh (PBE, Alexandria via LeMat-Bulk).

Unit cell a=3.627 b=3.627 c=4.132 alpha=90.00 beta=90.00 gamma=90.00
Space group P4/mmm (No. 123)
Asymmetric unit:
Mg  0.000  0.000  0.000 [1 per cell]
Co  0.000  0.500  0.500 [2 per cell]
H  0.000  0.000  0.500 [1 per cell]
Rh  0.500  0.500  0.000 [1 per cell]

* offset from the most stable computed form: 54 meV per atom
* electronic total energy: -5.28 eV/atom



# CsSnSe2

An optimized crystal structure of CsSnSe2 (PBE, Alexandria via LeMat-Bulk).

Unit cell a=6.746 b=6.374 c=15.883 alpha=90.00 beta=110.54 gamma=90.00
Space group P2_1/c (No. 14)
Asymmetric unit:
Cs  0.193  0.188  0.191 [4 per cell]
Sn  0.433  0.223  0.463 [4 per cell]
Se  0.012  0.160  0.460 [4 per cell]
Se  0.361  0.605  0.375 [4 per cell]

* raw formation energy: -0.690 eV/atom
* electronic total energy: -3.65 eV/atom